No. 1
Computed, not measured: a relaxed Tl2Ag2Se crystal at the PBE-GGA level of DFT.

Unit cell a=7.292 b=7.292 c=4.650 alpha=90.00 beta=90.00 gamma=90.00
Sites, in units of the cell vectors:
Tl (0.330, 0.170, 0.500)
Tl (0.170, 0.670, 0.500)
Tl (0.830, 0.330, 0.500)
Tl (0.670, 0.830, 0.500)
Se (0.000, 0.000, 0.000)
Se (0.500, 0.500, 0.000)
Ag (0.864, 0.636, 0.000)
Ag (0.136, 0.364, 0.000)
Ag (0.364, 0.864, 0.000)
Ag (0.636, 0.136, 0.000)

The relative energy among the computed polymorphs comes out at 0 meV per atom. The calculation puts the density of states at the Fermi level at 2.310 states/eV/cell. As for the energy relative to the elements, uncorrected: -0.02 eV per atom. As for the symmetry: P4/mbm.

***

No. 2
Computed, not measured: a relaxed Tl2AgSe crystal at the PBE-GGA level of DFT.

Unit cell a=4.335 b=4.335 c=7.537 alpha=73.42 beta=73.42 gamma=59.75
Sites, in units of the cell vectors:
Tl (0.770, 0.770, 0.688)
Tl (0.984, 0.984, 0.045)
Se (0.232, 0.232, 0.306)
Ag (0.513, 0.513, 0.460)

The relative energy among the computed polymorphs comes out at 15 meV per atom. The calculation puts the density of states at the Fermi level at 0.605 states/eV/cell. As for the energy relative to the elements, uncorrected: -0.11 eV per atom. As for the symmetry: Cm.

***

No. 3
Computed, not measured: a relaxed Tl6AgSe4 crystal at the PBE-GGA level of DFT.

Unit cell a=7.296 b=10.446 c=10.446 alpha=120.00 beta=90.00 gamma=90.00
Sites, in units of the cell vectors:
Tl (0.953, 0.845, 0.155)
Tl (0.124, 0.469, 0.938)
Tl (0.624, 0.938, 0.469)
Tl (0.453, 0.691, 0.845)
Tl (0.453, 0.155, 0.309)
Tl (0.624, 0.531, 0.062)
Tl (0.453, 0.155, 0.845)
Tl (0.124, 0.062, 0.531)
Tl (0.953, 0.309, 0.155)
Tl (0.124, 0.469, 0.531)
Tl (0.624, 0.531, 0.469)
Tl (0.953, 0.845, 0.691)
Se (0.871, 0.187, 0.813)
Se (0.871, 0.187, 0.373)
Se (0.371, 0.813, 0.627)
Se (0.884, 0.667, 0.333)
Se (0.384, 0.333, 0.667)
Se (0.871, 0.627, 0.813)
Se (0.371, 0.813, 0.187)
Se (0.371, 0.373, 0.187)
Ag (0.763, 0.333, 0.667)
Ag (0.263, 0.667, 0.333)

The calculation puts the density of states at the Fermi level at 13.145 states/eV/cell. As for the energy relative to the elements, uncorrected: -0.28 eV per atom. As for the symmetry: P6_3mc.

***

No. 4
Computed, not measured: a relaxed TlAg2Se3 crystal at the PBE-GGA level of DFT.

Unit cell a=7.524 b=7.524 c=7.480 alpha=99.62 beta=99.62 gamma=119.88
Sites, in units of the cell vectors:
Ag (0.260, 0.761, 0.011)
Ag (0.602, 0.439, 0.012)
Ag (0.761, 0.260, 0.511)
Ag (0.439, 0.602, 0.512)
Se (0.539, 0.709, 0.881)
Se (0.233, 0.059, 0.889)
Se (0.885, 0.401, 0.880)
Se (0.059, 0.233, 0.389)
Se (0.709, 0.539, 0.381)
Se (0.401, 0.885, 0.380)
Tl (0.916, 0.093, 0.998)
Tl (0.093, 0.916, 0.498)

The calculation puts the density of states at the Fermi level at 6.359 states/eV/cell. As for the energy relative to the elements, uncorrected: -0.11 eV per atom. As for the symmetry: Cc.

***

No. 5
Computed, not measured: a relaxed Tl2AgSe crystal at the PBE-GGA level of DFT.

Unit cell a=4.212 b=4.325 c=6.345 alpha=70.44 beta=90.00 gamma=90.00
Sites, in units of the cell vectors:
Ag (0.000, 0.703, 0.470)
Tl (0.000, 0.968, 0.942)
Tl (0.500, 0.272, 0.330)
Se (0.500, 0.558, 0.758)

The relative energy among the computed polymorphs comes out at 0 meV per atom. The calculation puts the density of states at the Fermi level at 1.588 states/eV/cell. As for the energy relative to the elements, uncorrected: -0.13 eV per atom. As for the symmetry: Pm.

***

No. 6
Computed, not measured: a relaxed Tl3AgSe3 crystal at the PBE-GGA level of DFT.

Unit cell a=4.625 b=6.475 c=16.997 alpha=69.70 beta=82.18 gamma=69.07
Sites, in units of the cell vectors:
Tl (0.269, 0.247, 0.214)
Tl (0.429, 0.237, 0.905)
Tl (0.571, 0.763, 0.095)
Tl (0.539, 0.304, 0.618)
Tl (0.461, 0.696, 0.382)
Tl (0.731, 0.753, 0.786)
Ag (0.709, 0.122, 0.460)
Ag (0.291, 0.878, 0.540)
Se (0.009, 0.214, 0.767)
Se (0.151, 0.301, 0.397)
Se (0.991, 0.786, 0.233)
Se (0.889, 0.119, 0.103)
Se (0.849, 0.699, 0.603)
Se (0.111, 0.881, 0.897)

The calculation puts the density of states at the Fermi level at 0.092 states/eV/cell. As for the energy relative to the elements, uncorrected: -0.23 eV per atom. As for the symmetry: C2/m.

***

No. 7
Computed, not measured: a relaxed Tl2Ag3Se4 crystal at the PBE-GGA level of DFT.

Unit cell a=4.116 b=6.437 c=9.930 alpha=105.49 beta=90.00 gamma=108.65
Sites, in units of the cell vectors:
Tl (0.336, 0.671, 0.178)
Tl (0.664, 0.329, 0.822)
Se (0.381, 0.762, 0.852)
Se (0.619, 0.238, 0.148)
Se (0.897, 0.793, 0.436)
Se (0.103, 0.207, 0.564)
Ag (0.343, 0.686, 0.582)
Ag (0.000, 0.000, 0.000)
Ag (0.657, 0.314, 0.418)

The calculation puts the density of states at the Fermi level at 3.480 states/eV/cell. As for the energy relative to the elements, uncorrected: -0.15 eV per atom. As for the symmetry: C2/m.

***

No. 8
Computed, not measured: a relaxed TlAg2Se crystal at the PBE-GGA level of DFT.

Unit cell a=4.858 b=4.858 c=9.403 alpha=75.03 beta=75.03 gamma=90.00
Sites, in units of the cell vectors:
Se (0.250, 0.750, 0.500)
Se (0.500, 0.500, 0.000)
Ag (0.558, 0.125, 0.250)
Ag (0.875, 0.808, 0.750)
Ag (0.192, 0.625, 0.250)
Ag (0.375, 0.442, 0.750)
Tl (0.750, 0.250, 0.500)
Tl (0.000, 0.000, 0.000)

The calculation puts the density of states at the Fermi level at 2.763 states/eV/cell. As for the energy relative to the elements, uncorrected: 0.05 eV per atom. As for the symmetry: I-42d.

***

No. 9
Computed, not measured: a relaxed TlAg4Se3 crystal at the PBE-GGA level of DFT.

Unit cell a=4.360 b=4.360 c=10.193 alpha=90.00 beta=90.00 gamma=90.00
Sites, in units of the cell vectors:
Ag (0.000, 0.500, 0.176)
Ag (0.500, 0.000, 0.824)
Ag (0.000, 0.500, 0.824)
Ag (0.500, 0.000, 0.176)
Se (0.500, 0.500, 0.671)
Se (0.500, 0.500, 0.329)
Se (0.000, 0.000, 0.000)
Tl (0.000, 0.000, 0.500)

The calculation puts the density of states at the Fermi level at 4.086 states/eV/cell. As for the energy relative to the elements, uncorrected: -0.11 eV per atom. As for the symmetry: P4/mmm.

***

No. 10
Computed, not measured: a relaxed Tl2AgSe crystal at the PBE-GGA level of DFT.

Unit cell a=7.302 b=7.302 c=4.030 alpha=73.97 beta=73.97 gamma=32.32
Sites, in units of the cell vectors:
Tl (0.929, 0.929, 0.071)
Tl (0.571, 0.571, 0.429)
Ag (0.750, 0.750, 0.750)
Se (0.250, 0.250, 0.250)

The relative energy among the computed polymorphs comes out at 64 meV per atom. The calculation puts the density of states at the Fermi level at 1.480 states/eV/cell. As for the energy relative to the elements, uncorrected: -0.06 eV per atom. As for the symmetry: Immm.

***

No. 11
Computed, not measured: a relaxed TlAg2Se crystal at the PBE-GGA level of DFT.

Unit cell a=6.909 b=6.909 c=6.909 alpha=148.49 beta=146.30 gamma=46.80
Sites, in units of the cell vectors:
Tl (0.289, 0.789, 0.500)
Ag (0.686, 0.186, 0.500)
Ag (0.013, 0.013, 0.000)
Se (0.513, 0.513, 0.000)

The calculation puts the density of states at the Fermi level at 1.346 states/eV/cell. As for the energy relative to the elements, uncorrected: 0.04 eV per atom. As for the symmetry: Imm2.

***

No. 12
Computed, not measured: a relaxed TlAg2Se crystal at the PBE-GGA level of DFT.

Unit cell a=3.148 b=3.148 c=9.046 alpha=90.00 beta=90.00 gamma=89.76
Sites, in units of the cell vectors:
Tl (0.500, 0.500, 0.762)
Se (0.000, 0.000, 0.455)
Ag (0.000, 0.000, 0.038)
Ag (0.500, 0.500, 0.245)

The calculation puts the density of states at the Fermi level at 1.926 states/eV/cell. As for the energy relative to the elements, uncorrected: 0.13 eV per atom. As for the symmetry: Cmm2.

***

What is the formula in the second record? Tl2AgSe

***

Among the records above, which one has the lowest energy relative to the elements, uncorrected? Tl6AgSe4

***

Repeat the second record exactly.
Computed, not measured: a relaxed Tl2AgSe crystal at the PBE-GGA level of DFT.

Unit cell a=4.335 b=4.335 c=7.537 alpha=73.42 beta=73.42 gamma=59.75
Sites, in units of the cell vectors:
Tl (0.770, 0.770, 0.688)
Tl (0.984, 0.984, 0.045)
Se (0.232, 0.232, 0.306)
Ag (0.513, 0.513, 0.460)

The relative energy among the computed polymorphs comes out at 15 meV per atom. The calculation puts the density of states at the Fermi level at 0.605 states/eV/cell. As for the energy relative to the elements, uncorrected: -0.11 eV per atom. As for the symmetry: Cm.